Material: Li2MnTeO6
Method: DFT, PBE with a Hubbard U
State: optimized geometry

Summary:
Size of the total moment: 3.0 μB per formula unit
E_tot: -5.64 eV per atom
D(E_F): 3.28 states/eV per cell

Cell: 3.898 5.511 5.511 Å, 90.00 90.00 90.00°
Atoms (fractional coordinates):
Li 0.924 0.500 0.000
Li 0.924 0.000 0.500
Mn 0.656 0.000 0.000
Te 0.671 0.500 0.500
O 0.726 0.254 0.254
O 0.726 0.254 0.746
O 0.186 0.500 0.500
O 0.181 0.000 0.000
O 0.726 0.746 0.746
O 0.726 0.746 0.254